No. 1
A relaxed structure of K4BaOs3O12. Source: the Alexandria database, functional PBE-GGA.

Crystal system ... cubic
DOS(E_F) ... 8.3 states/eV/f.u.

abc: 7.275 7.275 7.275
angles: 109.47 109.47 109.47
Fractional coordinates of all 20 atoms:
K 0.000 0.000 0.500
K 0.000 0.500 0.000
K 0.500 0.000 0.000
K 0.500 0.500 0.500
Ba 0.000 0.000 0.000
Os 0.000 0.500 0.500
Os 0.500 0.000 0.500
Os 0.500 0.500 0.000
O 0.000 0.286 0.286
O 0.000 0.714 0.714
O 0.250 0.500 0.750
O 0.250 0.750 0.500
O 0.286 0.000 0.286
O 0.286 0.286 0.000
O 0.500 0.250 0.750
O 0.500 0.750 0.250
O 0.714 0.000 0.714
O 0.714 0.714 0.000
O 0.750 0.250 0.500
O 0.750 0.500 0.250


No. 2
A relaxed structure of KBaOsO6. Source: the Alexandria database, functional PBE-GGA.

Crystal system ... triclinic

abc: 5.243 6.101 6.128
angles: 60.23 89.48 88.79
Fractional coordinates of all 9 atoms:
K 0.000 0.000 0.000
Ba 0.500 0.670 0.660
Os 0.998 0.323 0.354
O 0.182 0.568 0.052
O 0.194 0.067 0.356
O 0.224 0.351 0.560
O 0.772 0.091 0.560
O 0.802 0.579 0.353
O 0.824 0.384 0.048


No. 3
A relaxed structure of KBa3Os2O9. Source: the Alexandria database, functional PBE-GGA.

Crystal system ... trigonal
DOS(E_F) ... 7.4 states/eV/f.u.

abc: 5.930 5.930 7.518
angles: 90.00 90.00 120.00
Fractional coordinates of all 15 atoms:
K 0.000 0.000 0.000
Ba 0.000 0.000 0.500
Ba 0.333 0.667 0.165
Ba 0.667 0.333 0.835
Os 0.333 0.667 0.645
Os 0.667 0.333 0.355
O 0.000 0.500 0.500
O 0.183 0.367 0.792
O 0.183 0.817 0.792
O 0.367 0.183 0.208
O 0.500 0.000 0.500
O 0.500 0.500 0.500
O 0.633 0.817 0.792
O 0.817 0.183 0.208
O 0.817 0.633 0.208


No. 4
A relaxed structure of KBa2OsO6. Source: the Alexandria database, functional PBE-GGA.

Crystal system ... cubic
DOS(E_F) ... 4.4 states/eV/f.u.

abc: 6.170 6.170 6.170
angles: 60.00 60.00 60.00
Fractional coordinates of all 10 atoms:
K 0.000 0.000 0.000
Ba 0.250 0.250 0.250
Ba 0.750 0.750 0.750
Os 0.500 0.500 0.500
O 0.282 0.282 0.718
O 0.282 0.718 0.282
O 0.282 0.718 0.718
O 0.718 0.282 0.282
O 0.718 0.282 0.718
O 0.718 0.718 0.282


No. 5
A relaxed structure of KBaOsO4. Source: the Alexandria database, functional PBE-GGA.

Crystal system ... tetragonal
DOS(E_F) ... 5.3 states/eV/f.u.

abc: 7.375 7.375 7.375
angles: 149.08 149.08 44.30
Fractional coordinates of all 7 atoms:
K 0.000 0.000 0.000
Ba 0.695 0.695 0.000
Os 0.355 0.355 0.000
O 0.203 0.203 0.000
O 0.350 0.850 0.500
O 0.499 0.499 0.000
O 0.850 0.350 0.500


No. 6
A relaxed structure of K2BaP2O7. Source: the Alexandria database, functional PBE-GGA.

Crystal system ... trigonal
DOS(E_F) ... 0.0 states/eV/f.u.

abc: 8.279 8.279 8.279
angles: 41.27 41.27 41.27
Fractional coordinates of all 12 atoms:
K 0.202 0.202 0.202
K 0.798 0.798 0.798
Ba 0.000 0.000 0.000
P 0.428 0.428 0.428
P 0.572 0.572 0.572
O 0.186 0.362 0.688
O 0.312 0.638 0.814
O 0.362 0.688 0.186
O 0.500 0.500 0.500
O 0.638 0.814 0.312
O 0.688 0.186 0.362
O 0.814 0.312 0.638


Asked for VASP energy across the records above, the calculation gives -124.60, -56.59, -101.54, -64.50, -45.69, -78.99 eV per formula unit in order.
Asked for raw formation energy across the records above, the calculation gives -2421, -1215, -2662, -1793, -1120, -2832 kJ/mol of formula units in order.